P) VASP calculation (GGA-PBE) on a relaxed Al2PbW crystal.

Calculated values
* calculated volume: 20.03 Å³/atom
* space-group type: P2/m
* crystal system: monoclinic

Unit cell a=3.1278 b=3.4230 c=7.5277 alpha=90.00 beta=96.16 gamma=90.00
Positions (direct):
Al1 0.0439 0.0000 0.1791
Al2 0.9561 0.0000 0.8209
Pb1 0.5000 0.5000 0.5000
W1 0.5000 0.5000 0.0000

Q) VASP calculation (GGA-PBE) on a relaxed Al2PbW crystal.

Calculated values
* calculated volume: 19.65 Å³/atom
* space-group type: P4mm
* crystal system: tetragonal

Unit cell a=2.9966 b=2.9966 c=8.7533 alpha=90.00 beta=90.00 gamma=90.00
Positions (direct):
Al1 0.0000 0.0000 0.0000
Al2 0.5000 0.5000 0.2143
Pb1 0.0000 0.0000 0.5347
W1 0.5000 0.5000 0.8026

Energies relative to the most stable structure are P) 0; Q) 187, reported in meV/atom.

P) VASP calculation (GGA-PBE) on a relaxed Al2PbW crystal.

Calculated values
* calculated volume: 18.71 Å³/atom
* space-group type: C2/m
* crystal system: monoclinic

Unit cell a=5.1390 b=5.1390 c=5.2007 alpha=97.96 beta=97.96 gamma=33.42
Positions (direct):
Al1 0.2351 0.2351 0.2144
Al2 0.7649 0.7649 0.7856
Pb1 0.0000 0.0000 0.5000
W1 0.5000 0.5000 0.0000

Q) VASP calculation (GGA-PBE) on a relaxed Al2PbW crystal.

Calculated values
* calculated volume: 19.76 Å³/atom
* space-group type: R-3m
* crystal system: trigonal

Unit cell a=10.2596 b=10.2596 c=10.2596 alpha=16.84 beta=16.84 gamma=16.84
Positions (direct):
Al1 0.2374 0.2374 0.2374
Al2 0.7626 0.7626 0.7626
Pb1 0.0000 0.0000 0.0000
W1 0.5000 0.5000 0.5000

R) VASP calculation (GGA-PBE) on a relaxed Al2PbW crystal.

Calculated values
* calculated volume: 18.36 Å³/atom
* space-group type: Immm
* crystal system: orthorhombic

Unit cell a=5.2669 b=5.2669 c=5.2669 alpha=139.79 beta=127.69 gamma=67.97
Positions (direct):
Al1 0.2359 0.2359 0.0000
Al2 0.7641 0.7641 0.0000
Pb1 0.5000 0.0000 0.5000
W1 0.0000 0.5000 0.5000

S) VASP calculation (GGA-PBE) on a relaxed Al2PbW crystal.

Calculated values
* calculated volume: 19.96 Å³/atom
* space-group type: Pmmm
* crystal system: orthorhombic

Unit cell a=3.1286 b=3.4287 c=7.4436 alpha=90.00 beta=90.00 gamma=90.00
Positions (direct):
Al1 0.0000 0.0000 0.1795
Al2 0.0000 0.0000 0.8205
Pb1 0.5000 0.5000 0.5000
W1 0.5000 0.5000 0.0000

Energies relative to the most stable structure are P) 226; Q) 35; R) 217; S) 0, reported in meV/atom.

P) VASP calculation (GGA-PBE) on a relaxed Al2PbW crystal.

Calculated values
* calculated volume: 19.33 Å³/atom
* space-group type: Pmm2
* crystal system: orthorhombic

Unit cell a=3.0637 b=3.8436 c=6.5660 alpha=90.00 beta=90.00 gamma=90.00
Positions (direct):
Al1 0.0000 0.0000 0.0000
Al2 0.5000 0.5000 0.2289
Pb1 0.0000 0.0000 0.5295
W1 0.5000 0.5000 0.8316

Q) VASP calculation (GGA-PBE) on a relaxed Al2PbW crystal.

Calculated values
* calculated volume: 18.66 Å³/atom
* space-group type: Pmmm
* crystal system: orthorhombic

Unit cell a=3.3347 b=4.7264 c=4.7358 alpha=90.00 beta=90.00 gamma=90.00
Positions (direct):
Al1 0.0000 0.0000 0.0000
Al2 0.5000 0.0000 0.5000
Pb1 0.0000 0.5000 0.5000
W1 0.5000 0.5000 0.0000

R) VASP calculation (GGA-PBE) on a relaxed Al2PbW crystal.

Calculated values
* calculated volume: 21.67 Å³/atom
* space-group type: I-42d
* crystal system: tetragonal

Unit cell a=6.2326 b=6.2326 c=6.2326 alpha=101.58 beta=101.58 gamma=126.77
Positions (direct):
Al1 0.0733 0.1250 0.4483
Al2 0.3750 0.9267 0.0517
Al3 0.6767 0.6250 0.5517
Al4 0.8750 0.3233 0.9483
Pb1 0.2500 0.7500 0.5000
Pb2 0.5000 0.5000 0.0000
W1 0.0000 0.0000 0.0000
W2 0.7500 0.2500 0.5000

S) VASP calculation (GGA-PBE) on a relaxed Al2PbW crystal.

Calculated values
* calculated volume: 18.34 Å³/atom
* space-group type: I-4m2
* crystal system: tetragonal

Unit cell a=5.2563 b=5.2563 c=5.2563 alpha=134.24 beta=134.24 gamma=66.71
Positions (direct):
Al1 0.0000 0.0000 0.0000
Al2 0.7500 0.2500 0.5000
Pb1 0.2500 0.7500 0.5000
W1 0.5000 0.5000 0.0000

Energies relative to the most stable structure are P) 0; Q) 233; R) 359; S) 126, reported in meV/atom.

P) VASP calculation (GGA-PBE) on a relaxed Al2PbW crystal.

Calculated values
* calculated volume: 18.55 Å³/atom
* space-group type: P4/mmm
* crystal system: tetragonal

Unit cell a=4.9692 b=4.9692 c=3.0048 alpha=90.00 beta=90.00 gamma=90.00
Positions (direct):
Al1 0.0000 0.5000 0.0000
Al2 0.5000 0.0000 0.0000
Pb1 0.0000 0.0000 0.5000
W1 0.5000 0.5000 0.5000

Q) VASP calculation (GGA-PBE) on a relaxed Al2PbW crystal.

Calculated values
* calculated volume: 18.96 Å³/atom
* space-group type: F-43m
* crystal system: cubic

Unit cell a=4.7512 b=4.7512 c=4.7512 alpha=60.00 beta=60.00 gamma=60.00
Positions (direct):
Al1 0.0000 0.0000 0.0000
Al2 0.2500 0.2500 0.2500
Pb1 0.5000 0.5000 0.5000
W1 0.7500 0.7500 0.7500

Energies relative to the most stable structure are P) 0; Q) 315, reported in meV/atom.

P) VASP calculation (GGA-PBE) on a relaxed Al2PbW crystal.

Calculated values
* calculated volume: 19.02 Å³/atom
* space-group type: Amm2
* crystal system: orthorhombic

Unit cell a=4.6703 b=5.5330 c=5.5330 alpha=32.15 beta=90.00 gamma=90.00
Positions (direct):
Al1 0.0000 0.0000 0.0000
Al2 0.5000 0.4047 0.4047
Pb1 0.5000 0.6634 0.6634
W1 0.0000 0.2826 0.2826

Q) VASP calculation (GGA-PBE) on a relaxed Al2PbW crystal.

Calculated values
* calculated volume: 20.12 Å³/atom
* space-group type: R3m
* crystal system: trigonal

Unit cell a=10.5748 b=10.5748 c=10.5748 alpha=16.23 beta=16.23 gamma=16.23
Positions (direct):
Al1 0.0000 0.0000 0.0000
Al2 0.2599 0.2599 0.2599
Pb1 0.4867 0.4867 0.4867
W1 0.7355 0.7355 0.7355

Energies relative to the most stable structure are P) 0; Q) 19, reported in meV/atom.

P) VASP calculation (GGA-PBE) on a relaxed AlPb2W crystal.

Calculated values
* calculated volume: 22.22 Å³/atom
* space-group type: C2/m
* crystal system: monoclinic

Unit cell a=6.0841 b=6.0841 c=3.0836 alpha=103.38 beta=103.38 gamma=118.97
Positions (direct):
Al1 0.0000 0.0000 0.0000
Pb1 0.0000 0.5000 0.0000
Pb2 0.5000 0.0000 0.0000
W1 0.5000 0.5000 0.0000

Q) VASP calculation (GGA-PBE) on a relaxed AlPb2W crystal.

Calculated values
* calculated volume: 22.70 Å³/atom
* space-group type: F-43m
* crystal system: cubic

Unit cell a=5.0449 b=5.0449 c=5.0449 alpha=60.00 beta=60.00 gamma=60.00
Positions (direct):
Al1 0.0000 0.0000 0.0000
Pb1 0.5000 0.5000 0.5000
Pb2 0.7500 0.7500 0.7500
W1 0.2500 0.2500 0.2500

R) VASP calculation (GGA-PBE) on a relaxed AlPb2W crystal.

Calculated values
* calculated volume: 23.14 Å³/atom
* space-group type: R-3m
* crystal system: trigonal

Unit cell a=10.8609 b=10.8609 c=10.8609 alpha=16.73 beta=16.73 gamma=16.73
Positions (direct):
Al1 0.0000 0.0000 0.0000
Pb1 0.2427 0.2427 0.2427
Pb2 0.7573 0.7573 0.7573
W1 0.5000 0.5000 0.5000

Energies relative to the most stable structure are P) 160; Q) 281; R) 0, reported in meV/atom.

P) VASP calculation (GGA-PBE) on a relaxed AlPb2W crystal.

Calculated values
* calculated volume: 23.03 Å³/atom
* space-group type: P4/mmm
* crystal system: tetragonal

Unit cell a=3.2283 b=3.2283 c=8.8384 alpha=90.00 beta=90.00 gamma=90.00
Positions (direct):
Al1 0.0000 0.0000 0.0000
Pb1 0.5000 0.5000 0.2727
Pb2 0.5000 0.5000 0.7273
W1 0.0000 0.0000 0.5000

Q) VASP calculation (GGA-PBE) on a relaxed AlPb2W crystal.

Calculated values
* calculated volume: 22.34 Å³/atom
* space-group type: Pmmm
* crystal system: orthorhombic

Unit cell a=3.1167 b=4.6755 c=6.1334 alpha=90.00 beta=90.00 gamma=90.00
Positions (direct):
Al1 0.0000 0.0000 0.0000
Pb1 0.5000 0.5000 0.2556
Pb2 0.5000 0.5000 0.7444
W1 0.0000 0.0000 0.5000

Energies relative to the most stable structure are P) 0; Q) 61, reported in meV/atom.

P) VASP calculation (GGA-PBE) on a relaxed AlPb2W crystal.

Calculated values
* calculated volume: 22.37 Å³/atom
* space-group type: Fm-3m
* crystal system: cubic

Unit cell a=5.0206 b=5.0206 c=5.0206 alpha=60.00 beta=60.00 gamma=60.00
Positions (direct):
Al1 0.0000 0.0000 0.0000
Pb1 0.2500 0.2500 0.2500
Pb2 0.7500 0.7500 0.7500
W1 0.5000 0.5000 0.5000

Q) VASP calculation (GGA-PBE) on a relaxed AlPb2W crystal.

Calculated values
* calculated volume: 21.61 Å³/atom
* space-group type: P4/mmm
* crystal system: tetragonal

Unit cell a=4.9325 b=4.9325 c=3.5527 alpha=90.00 beta=90.00 gamma=90.00
Positions (direct):
Al1 0.0000 0.0000 0.0000
Pb1 0.0000 0.5000 0.5000
Pb2 0.5000 0.0000 0.5000
W1 0.5000 0.5000 0.0000

Energies relative to the most stable structure are P) 106; Q) 0, reported in meV/atom.

P) VASP calculation (GGA-PBE) on a relaxed YAl2Pb2 crystal.

Calculated values
* calculated volume: 26.01 Å³/atom
* space-group type: I4/mmm
* crystal system: tetragonal

Unit cell a=8.3551 b=8.3551 c=8.3551 alpha=151.79 beta=151.79 gamma=40.31
Positions (direct):
Y1 0.0000 0.0000 0.0000
Al1 0.2500 0.7500 0.5000
Al2 0.7500 0.2500 0.5000
Pb1 0.3932 0.3932 0.0000
Pb2 0.6068 0.6068 0.0000

Q) VASP calculation (GGA-PBE) on a relaxed YAl2Pb2 crystal.

Calculated values
* calculated volume: 25.17 Å³/atom
* space-group type: P4/mbm
* crystal system: tetragonal

Unit cell a=7.8910 b=7.8910 c=4.0420 alpha=90.00 beta=90.00 gamma=90.00
Positions (direct):
Y1 0.0000 0.0000 0.0000
Y2 0.5000 0.5000 0.0000
Al1 0.1194 0.3806 0.0000
Al2 0.3806 0.8806 0.0000
Al3 0.6194 0.1194 0.0000
Al4 0.8806 0.6194 0.0000
Pb1 0.1734 0.6734 0.5000
Pb2 0.3266 0.1734 0.5000
Pb3 0.6734 0.8266 0.5000
Pb4 0.8266 0.3266 0.5000

Energies relative to the most stable structure are P) 94; Q) 0, reported in meV/atom.

P) VASP calculation (GGA-PBE) on a relaxed Y2AlPb2 crystal.

Calculated values
* calculated volume: 28.77 Å³/atom
* space-group type: P4/mbm
* crystal system: tetragonal

Unit cell a=7.8898 b=7.8898 c=4.6222 alpha=90.00 beta=90.00 gamma=90.00
Positions (direct):
Y1 0.1645 0.3355 0.0000
Y2 0.3355 0.8355 0.0000
Y3 0.6645 0.1645 0.0000
Y4 0.8355 0.6645 0.0000
Al1 0.0000 0.0000 0.0000
Al2 0.5000 0.5000 0.0000
Pb1 0.1452 0.6452 0.5000
Pb2 0.3548 0.1452 0.5000
Pb3 0.6452 0.8548 0.5000
Pb4 0.8548 0.3548 0.5000

Q) VASP calculation (GGA-PBE) on a relaxed Y2AlPb2 crystal.

Calculated values
* calculated volume: 27.27 Å³/atom
* space-group type: P4/mbm
* crystal system: tetragonal

Unit cell a=7.6985 b=7.6985 c=4.6006 alpha=90.00 beta=90.00 gamma=90.00
Positions (direct):
Y1 0.1704 0.3296 0.0000
Y2 0.3296 0.8296 0.0000
Y3 0.6704 0.1704 0.0000
Y4 0.8296 0.6704 0.0000
Al1 0.0000 0.0000 0.5000
Al2 0.5000 0.5000 0.5000
Pb1 0.1412 0.6412 0.5000
Pb2 0.3588 0.1412 0.5000
Pb3 0.6412 0.8588 0.5000
Pb4 0.8588 0.3588 0.5000

Energies relative to the most stable structure are P) 87; Q) 0, reported in meV/atom.

P) VASP calculation (GGA-PBE) on a relaxed Al2Zn2Pb crystal.

Calculated values
* calculated volume: 19.70 Å³/atom
* space-group type: P4/mbm
* crystal system: tetragonal

Unit cell a=7.8447 b=7.8447 c=3.2013 alpha=90.00 beta=90.00 gamma=90.00
Positions (direct):
Al1 0.1700 0.3300 0.0000
Al2 0.3300 0.8300 0.0000
Al3 0.6700 0.1700 0.0000
Al4 0.8300 0.6700 0.0000
Zn1 0.1237 0.6237 0.5000
Zn2 0.3763 0.1237 0.5000
Zn3 0.6237 0.8763 0.5000
Zn4 0.8763 0.3763 0.5000
Pb1 0.0000 0.0000 0.5000
Pb2 0.5000 0.5000 0.5000

Q) VASP calculation (GGA-PBE) on a relaxed Al2Zn2Pb crystal.

Calculated values
* calculated volume: 19.82 Å³/atom
* space-group type: P4/mbm
* crystal system: tetragonal

Unit cell a=7.9018 b=7.9018 c=3.1744 alpha=90.00 beta=90.00 gamma=90.00
Positions (direct):
Al1 0.1221 0.3779 0.0000
Al2 0.3779 0.8779 0.0000
Al3 0.6221 0.1221 0.0000
Al4 0.8779 0.6221 0.0000
Zn1 0.1750 0.6750 0.5000
Zn2 0.3250 0.1750 0.5000
Zn3 0.6750 0.8250 0.5000
Zn4 0.8250 0.3250 0.5000
Pb1 0.0000 0.0000 0.0000
Pb2 0.5000 0.5000 0.0000

Energies relative to the most stable structure are P) 9; Q) 0, reported in meV/atom.